An optimized crystal structure of CaY2ScPd, computed with GGA-PBE.

Cell and atoms, written as CIF:
```
data_CaY2ScPd
_symmetry_space_group_name_H-M 'P 4/m m m'
_symmetry_Int_Tables_number 123
_symmetry_space_group_name_Hall '-P 4 2'
_cell_length_a 5.534
_cell_length_b 5.534
_cell_length_c 5.210
_cell_angle_alpha 90.00
_cell_angle_beta 90.00
_cell_angle_gamma 90.00
loop_
_atom_site_label
_atom_site_fract_x
_atom_site_fract_y
_atom_site_fract_z
Ca1 0.000 0.000 0.000
Y1 0.000 0.500 0.500
Sc1 0.500 0.500 0.000
Pd1 0.500 0.500 0.500
```

Output
- Electronic total energy: -5.448 eV/atom
- Energy relative to the elements: -0.8 eV per formula unit
- Excess energy over the best structure of this formula in the dataset: 0 kJ/mol of formula units